Computed, not measured: NaYSn4 after structural relaxation at the PBE level of DFT.

Properties
formation energy from the elements	-0.23	eV per atom
E_tot	-4.192	eV per atom
mass density	5.8	g/cm³

Lattice parameters (Å, degrees): 8.774 8.774 8.774 90.00 90.00 90.00
Space group F-43m (No. 216)
One atom of each set of equivalent atoms:
1 Na 0.000 0.000 0.000 x4
2 Y 0.250 0.250 0.750 x4
3 Sn 0.125 0.125 0.375 x16

Computed, not measured: NaYSn after structural relaxation at the PBE level of DFT.

Properties
formation energy from the elements	-0.43	eV per atom
E_tot	-4.356	eV per atom
relative energy among the computed polymorphs	71	meV/atom
mass density	4.6	g/cm³

Lattice parameters (Å, degrees): 3.882 4.820 8.948 90.00 90.00 90.00
Space group Pmmn (No. 59, origin choice 2)
One atom of each set of equivalent atoms:
1 Na 0.250 0.250 0.020 x2
2 Y 0.250 0.750 0.625 x2
3 Sn 0.250 0.750 0.273 x2

Computed, not measured: Na2YSn2 after structural relaxation at the PBE level of DFT.

Properties
formation energy from the elements	-0.16	eV per atom
E_tot	-3.585	eV per atom
relative energy among the computed polymorphs	23	meV/atom
mass density	4.2	g/cm³

Lattice parameters (Å, degrees): 8.254 8.254 4.274 90.00 90.00 90.00
Space group P4/mbm (No. 127)
One atom of each set of equivalent atoms:
1 Na 0.167 0.333 0.000 x4
2 Y 0.000 0.000 0.500 x2
3 Sn 0.130 0.630 0.500 x4

Computed, not measured: NaYSn after structural relaxation at the PBE level of DFT.

Properties
formation energy from the elements	-0.27	eV per atom
E_tot	-4.195	eV per atom
relative energy among the computed polymorphs	232	meV/atom
mass density	4.4	g/cm³

Lattice parameters (Å, degrees): 11.418 4.981 6.739 90.00 113.90 90.00
Space group Cm (No. 8)
One atom of each set of equivalent atoms:
1 Na 0.000 0.000 0.000 x2
2 Na 0.148 0.500 0.888 x2
3 Y 0.272 0.000 0.613 x2
4 Y 0.427 0.500 0.422 x2
5 Sn 0.115 0.500 0.393 x2
6 Sn 0.322 0.000 0.123 x2

Computed, not measured: NaYSn after structural relaxation at the PBE level of DFT.

Properties
formation energy from the elements	-0.40	eV per atom
E_tot	-4.324	eV per atom
relative energy among the computed polymorphs	104	meV/atom
mass density	4.7	g/cm³

Lattice parameters (Å, degrees): 5.1967 5.1967 6.9837 90.00 90.00 120.00
Space group P3m1 (No. 156)
One atom of each set of equivalent atoms:
1 Na 0.0000 0.0000 0.0000 x1
2 Na 0.3333 0.6667 0.8319 x1
3 Y 0.3333 0.6667 0.3046 x1
4 Y 0.6667 0.3333 0.6182 x1
5 Sn 0.0000 0.0000 0.5272 x1
6 Sn 0.6667 0.3333 0.1042 x1

Computed, not measured: NaYSn after structural relaxation at the PBE level of DFT.

Properties
formation energy from the elements	-0.31	eV per atom
E_tot	-4.239	eV per atom
relative energy among the computed polymorphs	188	meV/atom
mass density	3.9	g/cm³

Lattice parameters (Å, degrees): 5.120 5.120 7.418 90.00 90.00 90.00
Space group P4_2/mmc (No. 131)
One atom of each set of equivalent atoms:
1 Na 0.000 0.000 0.250 x2
2 Y 0.500 0.500 0.250 x2
3 Sn 0.000 0.500 0.000 x2

Which of these has the lowest mass density?
number 6